This record from the Alexandria database describes crystalline LiAlSb2 at its relaxed geometry. The functional is GGA-PBE.

**E_form (uncorrected)**: -0.08 eV per atom
**Magnetization**: 0.000 μB per atom

Lattice parameters (Å, degrees): 7.314 5.344 3.238 88.88 65.53 123.97
Positions (direct):
Al 0.000 0.500 0.500
Sb 0.500 0.000 0.500
Sb 0.000 0.000 0.000
Li 0.500 0.500 0.000

---

This record from the Alexandria database describes crystalline Li2AlSb at its relaxed geometry. The functional is GGA-PBE.

**E_form (uncorrected)**: -0.32 eV per atom
**Magnetization**: 0.000 μB per atom

Lattice parameters (Å, degrees): 4.236 4.195 4.195 90.00 90.00 90.00
Positions (direct):
Li 0.000 0.000 0.000
Li 0.000 0.500 0.500
Al 0.500 0.000 0.500
Sb 0.500 0.500 0.000

---

This record from the Alexandria database describes crystalline LiAlSb2 at its relaxed geometry. The functional is GGA-PBE.

**E_form (uncorrected)**: -0.07 eV per atom
**Magnetization**: 0.000 μB per atom

Lattice parameters (Å, degrees): 5.570 3.281 4.951 90.04 90.00 90.00
Positions (direct):
Sb 0.500 0.373 0.294
Sb 0.000 0.877 0.943
Li 0.500 0.873 0.795
Al 0.000 0.377 0.468

---

This record from the Alexandria database describes crystalline LiAl2Sb at its relaxed geometry. The functional is GGA-PBE.

**E_form (uncorrected)**: -0.04 eV per atom
**Magnetization**: 0.000 μB per atom

Lattice parameters (Å, degrees): 4.863 4.863 5.572 82.20 82.20 37.32
Positions (direct):
Al 0.012 0.012 0.948
Al 0.753 0.753 0.766
Sb 0.241 0.241 0.279
Li 0.495 0.495 0.507

---

This record from the Alexandria database describes crystalline LiAl2Sb2 at its relaxed geometry. The functional is GGA-PBE.

**Energy above the lowest structure with this stoichiometry**: 34.2 meV per atom
**E_form (uncorrected)**: 0.00 eV per atom
**Magnetization**: 0.000 μB per atom

Lattice parameters (Å, degrees): 5.243 5.243 5.938 63.81 63.81 90.00
Positions (direct):
Sb 0.750 0.250 0.500
Sb 0.250 0.750 0.500
Li 0.000 0.000 0.000
Al 0.362 0.362 0.276
Al 0.638 0.638 0.724

---

This record from the Alexandria database describes crystalline Li2AlSbSe4 at its relaxed geometry. The functional is GGA-PBE.

**E_form (uncorrected)**: -0.79 eV per atom
**Magnetization**: 0.000 μB per atom

Lattice parameters (Å, degrees): 6.090 6.090 6.916 111.53 111.53 99.60
Positions (direct):
Se 0.830 0.403 0.233
Se 0.403 0.830 0.233
Se 0.122 0.122 0.733
Se 0.610 0.610 0.733
Li 0.255 0.755 0.510
Li 0.755 0.255 0.510
Al 0.502 0.502 0.004
Sb 0.022 0.022 0.045